No. 1
# Mn2ReRu (PBE, optimized geometry)
data_Mn2ReRu
_chemical_formula_sum 'Mn2 Re1 Ru1'
_space_group_name_H-M_alt 'P m m 2'
_space_group_IT_number 25
_cell_length_a 2.696
_cell_length_b 3.712
_cell_length_c 5.314
_cell_angle_alpha 90.00
_cell_angle_beta 90.00
_cell_angle_gamma 90.00
loop_
_space_group_symop_operation_xyz
'x,y,z'
'-x,-y,z'
'-x,y,z'
'x,-y,z'
loop_
_atom_site_label
_atom_site_fract_x
_atom_site_fract_y
_atom_site_fract_z
_atom_site_occupancy
Mn1 0.000 0.000 0.000 1
Mn2 0.500 0.500 0.228 1
Re1 0.000 0.000 0.490 1
Ru1 0.500 0.500 0.741 1
# ΔE_f ... 0.06 eV per atom
# Total magnetic moment ... 0.01 μB per formula unit
# Uncorrected energy ... -9.95 eV/atom
# Crystal system ... orthorhombic

No. 2
# GePb4Se5 (PBE, optimized geometry)
data_GePb4Se5
_chemical_formula_sum 'Ge2 Pb8 Se10'
_space_group_name_H-M_alt 'I 4'
_space_group_IT_number 79
_cell_length_a 9.658
_cell_length_b 9.658
_cell_length_c 6.197
_cell_angle_alpha 90.00
_cell_angle_beta 90.00
_cell_angle_gamma 90.00
loop_
_space_group_symop_operation_xyz
'x,y,z'
'-y,x,z'
'-x,-y,z'
'y,-x,z'
'x+1/2,y+1/2,z+1/2'
'-y+1/2,x+1/2,z+1/2'
'-x+1/2,-y+1/2,z+1/2'
'y+1/2,-x+1/2,z+1/2'
loop_
_atom_site_label
_atom_site_fract_x
_atom_site_fract_y
_atom_site_fract_z
_atom_site_occupancy
Ge1 0.000 0.000 0.000 1
Pb1 0.098 0.301 0.526 1
Se1 0.000 0.000 0.583 1
Se2 0.097 0.286 0.041 1
# Total magnetic moment ... 0.00 μB per formula unit
# Uncorrected formation energy ... -0.484 eV per atom
# Uncorrected energy ... -4.17 eV/atom
# Crystal system ... tetragonal

No. 3
# UPaCS (PBE, optimized geometry)
data_UPaCS
_chemical_formula_sum 'U1 Pa1 C1 S1'
_space_group_name_H-M_alt 'P 4/m m m'
_space_group_IT_number 123
_space_group_name_Hall '-P 4 2'
_cell_length_a 3.740
_cell_length_b 3.740
_cell_length_c 5.272
_cell_angle_alpha 90.00
_cell_angle_beta 90.00
_cell_angle_gamma 90.00
loop_
_atom_site_label
_atom_site_fract_x
_atom_site_fract_y
_atom_site_fract_z
_atom_site_occupancy
U1 0.000 0.000 0.000 1
Pa1 0.500 0.500 0.500 1
C1 0.500 0.500 0.000 1
S1 0.000 0.000 0.500 1
# Total magnetic moment ... 1.16 μB per formula unit
# Uncorrected formation energy ... -0.723 eV per atom
# Uncorrected energy ... -9.26 eV/atom
# Crystal system ... tetragonal

No. 4
# HoEr5Sn4 (PBE, optimized geometry)
data_HoEr5Sn4
_chemical_formula_sum 'Ho2 Er10 Sn8'
_space_group_name_H-M_alt 'C 1 2/m 1'
_space_group_IT_number 12
_cell_length_a 17.568
_cell_length_b 4.479
_cell_length_c 7.756
_cell_angle_alpha 90.00
_cell_angle_beta 100.77
_cell_angle_gamma 90.00
loop_
_space_group_symop_operation_xyz
'x,y,z'
'-x,-y,-z'
'-x,y,-z'
'x,-y,z'
'x+1/2,y+1/2,z'
'-x+1/2,-y+1/2,-z'
'-x+1/2,y+1/2,-z'
'x+1/2,-y+1/2,z'
loop_
_atom_site_label
_atom_site_fract_x
_atom_site_fract_y
_atom_site_fract_z
_atom_site_occupancy
Ho1 0.000 0.000 0.000 1
Er1 0.000 0.000 0.500 1
Er2 0.139 0.500 0.730 1
Er3 0.209 0.500 0.315 1
Sn1 0.038 0.500 0.275 1
Sn2 0.188 0.000 0.019 1
# ΔE_f ... -0.38 eV per atom
# Total magnetic moment ... 0.30 μB per formula unit
# Uncorrected energy ... -4.72 eV/atom
# Crystal system ... monoclinic

No. 5
# Sb2RuRh (PBE, optimized geometry)
data_Sb2RuRh
_chemical_formula_sum 'Sb8 Ru4 Rh4'
_space_group_name_H-M_alt 'F -4 3 m'
_space_group_IT_number 216
_space_group_name_Hall 'F -4 2 3'
_cell_length_a 6.691
_cell_length_b 6.691
_cell_length_c 6.691
_cell_angle_alpha 90.00
_cell_angle_beta 90.00
_cell_angle_gamma 90.00
loop_
_atom_site_label
_atom_site_fract_x
_atom_site_fract_y
_atom_site_fract_z
_atom_site_occupancy
Sb1 0.000 0.000 0.000 1
Sb2 0.250 0.250 0.250 1
Ru1 0.250 0.250 0.750 1
Rh1 0.000 0.000 0.500 1
# Total magnetic moment ... 0.00 μB per formula unit
# Uncorrected formation energy ... 0.461 eV per atom
# Uncorrected energy ... -5.76 eV/atom
# Crystal system ... cubic

No. 6
# PaAlCuAu (PBE, optimized geometry)
data_PaAlCuAu
_chemical_formula_sum 'Pa4 Al4 Cu4 Au4'
_space_group_name_H-M_alt 'F -4 3 m'
_space_group_IT_number 216
_space_group_name_Hall 'F -4 2 3'
_cell_length_a 6.746
_cell_length_b 6.746
_cell_length_c 6.746
_cell_angle_alpha 90.00
_cell_angle_beta 90.00
_cell_angle_gamma 90.00
loop_
_atom_site_label
_atom_site_fract_x
_atom_site_fract_y
_atom_site_fract_z
_atom_site_occupancy
Pa1 0.000 0.000 0.000 1
Al1 0.000 0.000 0.500 1
Cu1 0.250 0.250 0.750 1
Au1 0.250 0.250 0.250 1
# ΔE_f ... -0.26 eV per atom
# Total magnetic moment ... 0.00 μB per formula unit
# Uncorrected energy ... -5.42 eV/atom
# Crystal system ... cubic

No. 7
# YCI2O (PBE, optimized geometry)
data_YCI2O
_chemical_formula_sum 'Y1 C1 I2 O1'
_space_group_name_H-M_alt 'P 4/m m m'
_space_group_IT_number 123
_space_group_name_Hall '-P 4 2'
_cell_length_a 5.515
_cell_length_b 5.515
_cell_length_c 3.498
_cell_angle_alpha 90.00
_cell_angle_beta 90.00
_cell_angle_gamma 90.00
loop_
_atom_site_label
_atom_site_fract_x
_atom_site_fract_y
_atom_site_fract_z
_atom_site_occupancy
Y1 0.000 0.000 0.000 1
C1 0.500 0.500 0.500 1
I1 0.000 0.500 0.500 1
O1 0.500 0.500 0.000 1
# Total magnetic moment ... 0.00 μB per formula unit
# Uncorrected formation energy ... 0.491 eV per atom
# Uncorrected energy ... -4.26 eV/atom
# Crystal system ... tetragonal

No. 8
# Tb3Pr3Dy5 (PBE, optimized geometry)
data_Tb3Pr3Dy5
_chemical_formula_sum 'Tb3 Pr3 Dy5'
_space_group_name_H-M_alt 'P -6 2 m'
_space_group_IT_number 189
_space_group_name_Hall 'P -6 -2'
_cell_length_a 9.6650
_cell_length_b 9.6650
_cell_length_c 5.4749
_cell_angle_alpha 90.00
_cell_angle_beta 90.00
_cell_angle_gamma 120.00
loop_
_atom_site_label
_atom_site_fract_x
_atom_site_fract_y
_atom_site_fract_z
_atom_site_occupancy
Tb1 0.0000 0.4628 0.0000 1
Pr1 0.0000 0.6355 0.5000 1
Dy1 0.0000 0.2678 0.5000 1
Dy2 0.3333 0.6667 0.5000 1
# ΔE_f ... 0.79 eV per atom
# Total magnetic moment ... 0.00 μB per formula unit
# Uncorrected energy ... -3.87 eV/atom
# Crystal system ... hexagonal